VASP calculation (PBE+U) on crystalline Ba2BeFeO at its relaxed geometry.

total energy	-0.2669	Ry per atom
spin magnetization	2.3	μB per formula unit

Structure (POSCAR):
```
Ba2BeFeO
1.0
6.3168 0.0000 0.0000
0.0000 6.3168 0.0000
0.0000 0.0000 3.6672
Ba Be Fe O
2 1 1 1
Direct
0.0000 0.5000 0.0000
0.5000 0.0000 0.0000
0.0000 0.0000 0.5000
0.5000 0.5000 0.0000
0.5000 0.5000 0.5000
```